# P2SClO (PBE-GGA, optimized geometry)
# **Total moment**: 0.000 μB per atom
# **Energy above the most stable polymorph in this dataset**: 0.257 eV per atom
data_P2SClO
_chemical_formula_sum 'P2 S1 Cl1 O1'
_space_group_name_H-M_alt 'P 1'
_space_group_IT_number 1
_cell_length_a 4.257
_cell_length_b 4.257
_cell_length_c 4.403
_cell_angle_alpha 90.00
_cell_angle_beta 90.00
_cell_angle_gamma 90.00
loop_
_space_group_symop_operation_xyz
'x,y,z'
loop_
_atom_site_label
_atom_site_fract_x
_atom_site_fract_y
_atom_site_fract_z
P1 0.000 0.500 0.000
P2 0.500 0.000 0.000
S1 0.000 0.000 0.500
Cl1 0.500 0.500 0.500
O1 0.500 0.500 0.000

***

# P2SClO (PBE-GGA, optimized geometry)
# **Total moment**: 0.015 μB per atom
# **Energy above the most stable polymorph in this dataset**: 1.186 eV per atom
data_P2SClO
_chemical_formula_sum 'P2 S1 Cl1 O1'
_space_group_name_H-M_alt 'P 1'
_space_group_IT_number 1
_cell_length_a 4.674
_cell_length_b 4.674
_cell_length_c 4.380
_cell_angle_alpha 90.00
_cell_angle_beta 90.00
_cell_angle_gamma 90.00
loop_
_space_group_symop_operation_xyz
'x,y,z'
loop_
_atom_site_label
_atom_site_fract_x
_atom_site_fract_y
_atom_site_fract_z
P1 0.000 0.500 0.000
P2 0.500 0.000 0.000
S1 0.000 0.000 0.500
Cl1 0.000 0.000 0.000
O1 0.500 0.500 0.500

***

# P2SClO (PBE-GGA, optimized geometry)
# **Total moment**: 0.000 μB per atom
# **Energy above the most stable polymorph in this dataset**: 0.277 eV per atom
data_P2SClO
_chemical_formula_sum 'P2 S1 Cl1 O1'
_space_group_name_H-M_alt 'P 1'
_space_group_IT_number 1
_cell_length_a 4.379
_cell_length_b 4.379
_cell_length_c 4.234
_cell_angle_alpha 90.00
_cell_angle_beta 90.00
_cell_angle_gamma 90.00
loop_
_space_group_symop_operation_xyz
'x,y,z'
loop_
_atom_site_label
_atom_site_fract_x
_atom_site_fract_y
_atom_site_fract_z
P1 0.000 0.500 0.000
P2 0.500 0.000 0.000
S1 0.000 0.000 0.500
Cl1 0.500 0.500 0.500
O1 0.000 0.000 0.000

***

# P2SClO (PBE-GGA, optimized geometry)
# **Total moment**: 0.180 μB per atom
# **Energy above the most stable polymorph in this dataset**: 0.665 eV per atom
data_P2SClO
_chemical_formula_sum 'P2 S1 Cl1 O1'
_space_group_name_H-M_alt 'P 1'
_space_group_IT_number 1
_cell_length_a 4.613
_cell_length_b 4.613
_cell_length_c 4.560
_cell_angle_alpha 90.00
_cell_angle_beta 90.00
_cell_angle_gamma 90.00
loop_
_space_group_symop_operation_xyz
'x,y,z'
loop_
_atom_site_label
_atom_site_fract_x
_atom_site_fract_y
_atom_site_fract_z
P1 0.000 0.500 0.000
P2 0.500 0.000 0.000
S1 0.000 0.000 0.000
Cl1 0.000 0.000 0.500
O1 0.500 0.500 0.500

***

# SiP2ClO (PBE-GGA, optimized geometry)
# **Total moment**: 0.000 μB per atom
# **Energy above the most stable polymorph in this dataset**: 0.445 eV per atom
data_SiP2ClO
_chemical_formula_sum 'Si1 P2 Cl1 O1'
_space_group_name_H-M_alt 'P 1'
_space_group_IT_number 1
_cell_length_a 3.867
_cell_length_b 3.867
_cell_length_c 5.806
_cell_angle_alpha 90.00
_cell_angle_beta 90.00
_cell_angle_gamma 90.00
loop_
_space_group_symop_operation_xyz
'x,y,z'
loop_
_atom_site_label
_atom_site_fract_x
_atom_site_fract_y
_atom_site_fract_z
Si1 0.000 0.000 0.000
P1 0.000 0.500 0.500
P2 0.500 0.000 0.500
Cl1 0.500 0.500 0.000
O1 0.500 0.500 0.500

***

# SiP2ClO (PBE-GGA, optimized geometry)
# **Total moment**: 0.156 μB per atom
# **Energy above the most stable polymorph in this dataset**: 0.976 eV per atom
data_SiP2ClO
_chemical_formula_sum 'Si1 P2 Cl1 O1'
_space_group_name_H-M_alt 'P 1'
_space_group_IT_number 1
_cell_length_a 4.537
_cell_length_b 4.537
_cell_length_c 4.429
_cell_angle_alpha 90.00
_cell_angle_beta 90.00
_cell_angle_gamma 90.00
loop_
_space_group_symop_operation_xyz
'x,y,z'
loop_
_atom_site_label
_atom_site_fract_x
_atom_site_fract_y
_atom_site_fract_z
Si1 0.000 0.000 0.000
P1 0.000 0.500 0.000
P2 0.500 0.000 0.000
Cl1 0.000 0.000 0.500
O1 0.500 0.500 0.500

***

# SiPCl2O (PBE-GGA, optimized geometry)
# **Total moment**: 0.294 μB per atom
# **Energy above the most stable polymorph in this dataset**: 0.000 eV per atom
data_SiPCl2O
_chemical_formula_sum 'Si1 P1 Cl2 O1'
_space_group_name_H-M_alt 'P 1'
_space_group_IT_number 1
_cell_length_a 4.611
_cell_length_b 4.611
_cell_length_c 4.718
_cell_angle_alpha 90.00
_cell_angle_beta 90.00
_cell_angle_gamma 90.00
loop_
_space_group_symop_operation_xyz
'x,y,z'
loop_
_atom_site_label
_atom_site_fract_x
_atom_site_fract_y
_atom_site_fract_z
Si1 0.000 0.000 0.000
P1 0.000 0.000 0.500
Cl1 0.000 0.500 0.000
Cl2 0.500 0.000 0.000
O1 0.500 0.500 0.500

***

# SiP2ClO (PBE-GGA, optimized geometry)
# **Total moment**: 0.000 μB per atom
# **Energy above the most stable polymorph in this dataset**: 0.000 eV per atom
data_SiP2ClO
_chemical_formula_sum 'Si1 P2 Cl1 O1'
_space_group_name_H-M_alt 'P 1'
_space_group_IT_number 1
_cell_length_a 4.881
_cell_length_b 4.881
_cell_length_c 3.291
_cell_angle_alpha 90.00
_cell_angle_beta 90.00
_cell_angle_gamma 90.00
loop_
_space_group_symop_operation_xyz
'x,y,z'
loop_
_atom_site_label
_atom_site_fract_x
_atom_site_fract_y
_atom_site_fract_z
Si1 0.000 0.000 0.000
P1 0.000 0.500 0.000
P2 0.500 0.000 0.000
Cl1 0.500 0.500 0.500
O1 0.000 0.000 0.500

***

# SiPCl2O (PBE-GGA, optimized geometry)
# **Total moment**: 0.000 μB per atom
# **Energy above the most stable polymorph in this dataset**: 0.112 eV per atom
data_SiPCl2O
_chemical_formula_sum 'Si1 P1 Cl2 O1'
_space_group_name_H-M_alt 'P 1'
_space_group_IT_number 1
_cell_length_a 4.491
_cell_length_b 4.491
_cell_length_c 4.223
_cell_angle_alpha 90.00
_cell_angle_beta 90.00
_cell_angle_gamma 90.00
loop_
_space_group_symop_operation_xyz
'x,y,z'
loop_
_atom_site_label
_atom_site_fract_x
_atom_site_fract_y
_atom_site_fract_z
Si1 0.000 0.000 0.000
P1 0.500 0.500 0.000
Cl1 0.000 0.500 0.500
Cl2 0.500 0.000 0.500
O1 0.500 0.500 0.500

***

# SnP2Cl8O3 (PBE-GGA, optimized geometry)
# **Total moment**: 0.012 μB per atom
# **E_tot**: -61.0 eV/f.u.
data_SnP2Cl8O3
_chemical_formula_sum 'Sn2 P4 Cl16 O6'
_space_group_name_H-M_alt 'P 1'
_space_group_IT_number 1
_cell_length_a 9.108
_cell_length_b 9.298
_cell_length_c 11.192
_cell_angle_alpha 71.17
_cell_angle_beta 71.93
_cell_angle_gamma 66.37
loop_
_space_group_symop_operation_xyz
'x,y,z'
loop_
_atom_site_label
_atom_site_fract_x
_atom_site_fract_y
_atom_site_fract_z
Sn1 0.091 0.199 0.276
Sn2 0.909 0.801 0.724
P1 0.203 0.798 0.436
P2 0.222 0.808 0.856
P3 0.778 0.192 0.144
P4 0.797 0.202 0.564
Cl1 0.036 0.517 0.787
Cl2 0.182 0.609 0.402
Cl3 0.207 0.789 0.041
Cl4 0.239 0.187 0.422
Cl5 0.298 0.993 0.759
Cl6 0.304 0.165 0.089
Cl7 0.401 0.613 0.810
Cl8 0.445 0.740 0.416
Cl9 0.555 0.260 0.584
Cl10 0.599 0.387 0.190
Cl11 0.696 0.835 0.911
Cl12 0.702 0.007 0.241
Cl13 0.761 0.813 0.578
Cl14 0.793 0.211 0.959
Cl15 0.818 0.391 0.598
Cl16 0.964 0.483 0.213
O1 0.060 0.829 0.834
O2 0.126 0.811 0.574
O3 0.143 0.941 0.329
O4 0.857 0.059 0.671
O5 0.874 0.189 0.426
O6 0.940 0.171 0.166

***

# SnP2ClO (PBE-GGA, optimized geometry)
# **Total moment**: 0.200 μB per atom
# **Energy above the most stable polymorph in this dataset**: 0.442 eV per atom
data_SnP2ClO
_chemical_formula_sum 'Sn1 P2 Cl1 O1'
_space_group_name_H-M_alt 'P 1'
_space_group_IT_number 1
_cell_length_a 5.218
_cell_length_b 5.218
_cell_length_c 3.981
_cell_angle_alpha 90.00
_cell_angle_beta 90.00
_cell_angle_gamma 90.00
loop_
_space_group_symop_operation_xyz
'x,y,z'
loop_
_atom_site_label
_atom_site_fract_x
_atom_site_fract_y
_atom_site_fract_z
Sn1 0.000 0.000 0.000
P1 0.000 0.500 0.000
P2 0.500 0.000 0.000
Cl1 0.500 0.500 0.500
O1 0.000 0.000 0.500

***

# SnP2ClO (PBE-GGA, optimized geometry)
# **Total moment**: 0.000 μB per atom
# **Energy above the most stable polymorph in this dataset**: 0.000 eV per atom
data_SnP2ClO
_chemical_formula_sum 'Sn1 P2 Cl1 O1'
_space_group_name_H-M_alt 'P 1'
_space_group_IT_number 1
_cell_length_a 3.992
_cell_length_b 3.992
_cell_length_c 5.981
_cell_angle_alpha 90.00
_cell_angle_beta 90.00
_cell_angle_gamma 90.00
loop_
_space_group_symop_operation_xyz
'x,y,z'
loop_
_atom_site_label
_atom_site_fract_x
_atom_site_fract_y
_atom_site_fract_z
Sn1 0.000 0.000 0.000
P1 0.000 0.500 0.500
P2 0.500 0.000 0.500
Cl1 0.500 0.500 0.000
O1 0.500 0.500 0.500

***

# SnP2Cl10O2 (PBE-GGA, optimized geometry)
# **Total moment**: 0.003 μB per atom
# **E_tot**: -58.7 eV/f.u.
data_SnP2Cl10O2
_chemical_formula_sum 'Sn4 P8 Cl40 O8'
_space_group_name_H-M_alt 'P 1'
_space_group_IT_number 1
_cell_length_a 15.115
_cell_length_b 15.285
_cell_length_c 8.228
_cell_angle_alpha 90.00
_cell_angle_beta 90.00
_cell_angle_gamma 90.00
loop_
_space_group_symop_operation_xyz
'x,y,z'
loop_
_atom_site_label
_atom_site_fract_x
_atom_site_fract_y
_atom_site_fract_z
Sn1 0.240 0.167 0.000
Sn2 0.260 0.667 0.500
Sn3 0.740 0.333 0.500
Sn4 0.760 0.833 0.000
P1 0.079 0.348 0.000
P2 0.116 0.866 0.500
P3 0.384 0.366 0.000
P4 0.421 0.848 0.500
P5 0.579 0.152 0.500
P6 0.616 0.634 0.000
P7 0.884 0.134 0.500
P8 0.921 0.652 0.000
Cl1 0.037 0.850 0.308
Cl2 0.037 0.850 0.692
Cl3 0.053 0.653 0.000
Cl4 0.114 0.418 0.193
Cl5 0.114 0.418 0.807
Cl6 0.116 0.601 0.500
Cl7 0.143 0.045 0.000
Cl8 0.150 0.991 0.500
Cl9 0.234 0.194 0.285
Cl10 0.234 0.194 0.715
Cl11 0.266 0.694 0.215
Cl12 0.266 0.694 0.785
Cl13 0.350 0.491 0.000
Cl14 0.357 0.545 0.500
Cl15 0.384 0.101 0.000
Cl16 0.386 0.918 0.307
Cl17 0.386 0.918 0.693
Cl18 0.447 0.153 0.500
Cl19 0.463 0.350 0.192
Cl20 0.463 0.350 0.808
Cl21 0.537 0.650 0.192
Cl22 0.537 0.650 0.808
Cl23 0.553 0.847 0.500
Cl24 0.614 0.082 0.307
Cl25 0.614 0.082 0.693
Cl26 0.616 0.899 0.000
Cl27 0.643 0.455 0.500
Cl28 0.650 0.509 0.000
Cl29 0.734 0.306 0.215
Cl30 0.734 0.306 0.785
Cl31 0.766 0.806 0.285
Cl32 0.766 0.806 0.715
Cl33 0.850 0.009 0.500
Cl34 0.857 0.955 0.000
Cl35 0.884 0.399 0.500
Cl36 0.886 0.582 0.193
Cl37 0.886 0.582 0.807
Cl38 0.947 0.347 0.000
Cl39 0.963 0.150 0.308
Cl40 0.963 0.150 0.692
O1 0.114 0.257 0.000
O2 0.195 0.808 0.500
O3 0.305 0.308 0.000
O4 0.386 0.757 0.500
O5 0.614 0.243 0.500
O6 0.695 0.692 0.000
O7 0.805 0.192 0.500
O8 0.886 0.743 0.000

***

# SnP2ClO (PBE-GGA, optimized geometry)
# **Total moment**: 0.363 μB per atom
# **Energy above the most stable polymorph in this dataset**: 1.158 eV per atom
data_SnP2ClO
_chemical_formula_sum 'Sn1 P2 Cl1 O1'
_space_group_name_H-M_alt 'P 1'
_space_group_IT_number 1
_cell_length_a 5.148
_cell_length_b 5.148
_cell_length_c 5.015
_cell_angle_alpha 90.00
_cell_angle_beta 90.00
_cell_angle_gamma 90.00
loop_
_space_group_symop_operation_xyz
'x,y,z'
loop_
_atom_site_label
_atom_site_fract_x
_atom_site_fract_y
_atom_site_fract_z
Sn1 0.000 0.000 0.000
P1 0.000 0.500 0.000
P2 0.500 0.000 0.000
Cl1 0.000 0.000 0.500
O1 0.500 0.500 0.500

***

# SrP2ClO (PBE-GGA, optimized geometry)
# **Total moment**: 0.000 μB per atom
# **Energy above the most stable polymorph in this dataset**: 0.000 eV per atom
data_SrP2ClO
_chemical_formula_sum 'Sr1 P2 Cl1 O1'
_space_group_name_H-M_alt 'P 1'
_space_group_IT_number 1
_cell_length_a 4.028
_cell_length_b 4.028
_cell_length_c 6.172
_cell_angle_alpha 90.00
_cell_angle_beta 90.00
_cell_angle_gamma 90.00
loop_
_space_group_symop_operation_xyz
'x,y,z'
loop_
_atom_site_label
_atom_site_fract_x
_atom_site_fract_y
_atom_site_fract_z
Sr1 0.000 0.000 0.000
P1 0.000 0.500 0.500
P2 0.500 0.000 0.500
Cl1 0.500 0.500 0.000
O1 0.500 0.500 0.500

***

# Sr6P2Cl3O (PBE-GGA, optimized geometry)
# **Total moment**: 0.000 μB per atom
# **E_tot**: -53.0 eV/f.u.
data_Sr6P2Cl3O
_chemical_formula_sum 'Sr6 P2 Cl3 O1'
_space_group_name_H-M_alt 'P 1'
_space_group_IT_number 1
_cell_length_a 7.317
_cell_length_b 7.317
_cell_length_c 7.530
_cell_angle_alpha 99.32
_cell_angle_beta 99.32
_cell_angle_gamma 119.99
loop_
_space_group_symop_operation_xyz
'x,y,z'
loop_
_atom_site_label
_atom_site_fract_x
_atom_site_fract_y
_atom_site_fract_z
Sr1 0.071 0.383 0.213
Sr2 0.240 0.240 0.789
Sr3 0.383 0.071 0.213
Sr4 0.617 0.929 0.787
Sr5 0.760 0.760 0.211
Sr6 0.929 0.617 0.787
P1 0.333 0.667 0.000
P2 0.667 0.333 0.000
Cl1 0.167 0.833 0.500
Cl2 0.500 0.500 0.500
Cl3 0.833 0.167 0.500
O1 0.000 0.000 0.000

***

# SrP2ClO (PBE-GGA, optimized geometry)
# **Total moment**: 0.303 μB per atom
# **Energy above the most stable polymorph in this dataset**: 0.938 eV per atom
data_SrP2ClO
_chemical_formula_sum 'Sr1 P2 Cl1 O1'
_space_group_name_H-M_alt 'P 1'
_space_group_IT_number 1
_cell_length_a 4.647
_cell_length_b 4.647
_cell_length_c 4.667
_cell_angle_alpha 90.00
_cell_angle_beta 90.00
_cell_angle_gamma 90.00
loop_
_space_group_symop_operation_xyz
'x,y,z'
loop_
_atom_site_label
_atom_site_fract_x
_atom_site_fract_y
_atom_site_fract_z
Sr1 0.000 0.000 0.000
P1 0.000 0.500 0.500
P2 0.500 0.000 0.500
Cl1 0.500 0.500 0.500
O1 0.500 0.500 0.000

***

# SrPCl2O (PBE-GGA, optimized geometry)
# **Total moment**: 0.208 μB per atom
# **Energy above the most stable polymorph in this dataset**: 0.939 eV per atom
data_SrPCl2O
_chemical_formula_sum 'Sr1 P1 Cl2 O1'
_space_group_name_H-M_alt 'P 1'
_space_group_IT_number 1
_cell_length_a 5.530
_cell_length_b 5.530
_cell_length_c 7.523
_cell_angle_alpha 90.00
_cell_angle_beta 90.00
_cell_angle_gamma 90.00
loop_
_space_group_symop_operation_xyz
'x,y,z'
loop_
_atom_site_label
_atom_site_fract_x
_atom_site_fract_y
_atom_site_fract_z
Sr1 0.000 0.000 0.000
P1 0.000 0.000 0.500
Cl1 0.000 0.500 0.000
Cl2 0.500 0.000 0.000
O1 0.500 0.500 0.500

***

# SrP2ClO (PBE-GGA, optimized geometry)
# **Total moment**: 0.665 μB per atom
# **Energy above the most stable polymorph in this dataset**: 1.543 eV per atom
data_SrP2ClO
_chemical_formula_sum 'Sr1 P2 Cl1 O1'
_space_group_name_H-M_alt 'P 1'
_space_group_IT_number 1
_cell_length_a 6.332
_cell_length_b 6.332
_cell_length_c 5.507
_cell_angle_alpha 90.00
_cell_angle_beta 90.00
_cell_angle_gamma 90.00
loop_
_space_group_symop_operation_xyz
'x,y,z'
loop_
_atom_site_label
_atom_site_fract_x
_atom_site_fract_y
_atom_site_fract_z
Sr1 0.000 0.000 0.000
P1 0.000 0.500 0.000
P2 0.500 0.000 0.000
Cl1 0.000 0.000 0.500
O1 0.500 0.500 0.500

***

# SrPCl2O (PBE-GGA, optimized geometry)
# **Total moment**: 0.000 μB per atom
# **Energy above the most stable polymorph in this dataset**: 0.000 eV per atom
data_SrPCl2O
_chemical_formula_sum 'Sr1 P1 Cl2 O1'
_space_group_name_H-M_alt 'P 1'
_space_group_IT_number 1
_cell_length_a 5.620
_cell_length_b 5.620
_cell_length_c 3.473
_cell_angle_alpha 90.00
_cell_angle_beta 90.00
_cell_angle_gamma 90.00
loop_
_space_group_symop_operation_xyz
'x,y,z'
loop_
_atom_site_label
_atom_site_fract_x
_atom_site_fract_y
_atom_site_fract_z
Sr1 0.000 0.000 0.000
P1 0.500 0.500 0.000
Cl1 0.000 0.500 0.500
Cl2 0.500 0.000 0.500
O1 0.500 0.500 0.500